Entry 1:
The following is a DFT calculation (GGA-PBE) of a geometry-optimized Pm2GaTe4 structure.

Properties
The total energy is -4.585 eV per atom. As for the symmetry: C2/m. The crystal system is monoclinic. The value obtained for the density of states at the Fermi level is 3.29 states/eV per cell.

Cell lengths 4.405, 7.800, 8.308 Å; angles 118.52, 105.37, 90.00 degrees
Positions (direct):
Te 0.888 0.212 0.775
Te 0.376 0.715 0.753
Te 0.624 0.285 0.247
Te 0.112 0.788 0.225
Pm 0.259 0.246 0.517
Pm 0.741 0.754 0.483
Ga 0.000 0.000 0.000

***

Entry 2:
The following is a DFT calculation (GGA-PBE) of a geometry-optimized CaMnCr structure.

Properties
The total energy is -5.430 eV per atom. For the energy of formation, the calculation gives 1.50 eV per atom. As for the symmetry: F-43m. The crystal system is cubic. The calculation puts the offset from the most stable computed form at 1082 meV per atom. The value obtained for the density of states at the Fermi level is 3.68 states/eV per cell.

Cell lengths 4.974, 4.974, 4.974 Å; angles 60.00, 60.00, 60.00 degrees
Last column: magnetic moment on the atom in μB.
Positions (direct):
Cr 0.000 0.000 0.000  3.97
Ca 0.750 0.750 0.750  0.06
Mn 0.500 0.500 0.500  4.07

***

Entry 3:
The following is a DFT calculation (GGA-PBE) of a geometry-optimized LiPu5Rh6 structure.

Properties
The total energy is -10.218 eV per atom. For the energy of formation, the calculation gives -0.41 eV per atom. As for the symmetry: Immm. The crystal system is orthorhombic. The value obtained for the density of states at the Fermi level is 38.42 states/eV per cell.

Cell lengths 4.646, 8.275, 8.275 Å; angles 119.73, 106.30, 106.30 degrees
Last column: magnetic moment on the atom in μB.
Positions (direct):
Rh 0.752 0.592 0.912  -0.31
Rh 0.248 0.408 0.088  -0.31
Rh 0.248 0.088 0.408  -0.31
Rh 0.241 0.741 0.741  -0.28
Rh 0.759 0.259 0.259  -0.28
Rh 0.752 0.912 0.592  -0.31
Pu 0.500 0.500 0.500  4.94
Pu 0.500 0.849 0.151  5.00
Pu 0.000 0.323 0.677  5.02
Pu 0.000 0.677 0.323  5.02
Pu 0.500 0.151 0.849  5.00
Li 0.000 0.000 0.000  0.01